# 1
CaPuAsPd | GGA-PBE | optimized geometry

As for the density: 8.58 g/cm3. The total magnetic moment comes out at 5.4 μB per formula unit. As for the formation energy: -699 meV per atom.

The space group is F-43m (No. 216) and the conventional cell measures 7.1159, 7.1159 and 7.1159 Å, with angles of 90.00, 90.00 and 90.00 degrees. The asymmetric unit holds Ca at (0.0000, 0.0000, 0.0000), Pu at (0.0000, 0.0000, 0.5000), As at (0.2500, 0.2500, 0.7500) and Pd at (0.2500, 0.2500, 0.2500).

# 2
LaTa2CoHg | GGA-PBE | optimized geometry

As for the density: 8.54 g/cm3. The total magnetic moment comes out at 1.9 μB per formula unit. As for the formation energy: 2022 meV per atom.

The space group is P4/mmm (No. 123) and the conventional cell measures 5.0548, 5.0548 and 5.7870 Å, with angles of 90.00, 90.00 and 90.00 degrees. The asymmetric unit holds La at (0.0000, 0.0000, 0.0000), Ta at (0.0000, 0.5000, 0.5000), Co at (0.5000, 0.5000, 0.0000) and Hg at (0.0000, 0.0000, 0.5000).